1.
Density functional theory data (GGA-PBE) for a relaxed structure of LaNd3S3O4.

Cell lengths 8.327, 3.957, 12.695 Å; angles 90.00, 90.00, 90.00 degrees
Space group Amm2 (No. 38)
Inequivalent atoms, fractional coordinates:
La  0.000  0.000  0.000
Nd  0.236  0.000  0.305
Nd  0.500  0.000  0.979
S  0.000  0.000  0.685
S  0.370  0.000  0.641
O  0.000  0.000  0.405
O  0.245  0.000  0.906
O  0.500  0.000  0.377

Calculated values
- Raw total energy: -164.6 eV for the cell shown
- Spin magnetization: 0.0 μB per formula unit
- Crystal system: orthorhombic

***

2.
Density functional theory data (GGA-PBE) for a relaxed structure of LaNdZn2Sb2O2.

Cell lengths 4.203, 4.203, 9.554 Å; angles 90.00, 90.00, 90.00 degrees
Space group P4mm (No. 99)
Inequivalent atoms, fractional coordinates:
La  0.000  0.000  0.000
Nd  0.500  0.500  0.762
Zn  0.000  0.500  0.380
Sb  0.000  0.000  0.564
Sb  0.500  0.500  0.198
O  0.000  0.500  0.879

Calculated values
- Raw total energy: -44.1 eV for the cell shown
- Spin magnetization: 0.0 μB per formula unit
- Crystal system: tetragonal

***

3.
Density functional theory data (GGA-PBE) for a relaxed structure of LaNd3Se3O4.

Cell lengths 8.481, 4.040, 13.009 Å; angles 90.00, 90.00, 90.00 degrees
Space group Amm2 (No. 38)
Inequivalent atoms, fractional coordinates:
La  0.000  0.000  0.000
Nd  0.264  0.000  0.332
Nd  0.500  0.000  0.015
Se  0.149  0.000  0.663
Se  0.500  0.000  0.703
O  0.000  0.000  0.399
O  0.258  0.000  0.928
O  0.500  0.000  0.429

Calculated values
- Raw total energy: -160.2 eV for the cell shown
- Spin magnetization: 0.0 μB per formula unit
- Crystal system: orthorhombic
- Energy above the most stable polymorph in this dataset: 0.039 eV per formula unit

***

> The lowest raw total energy belongs to which entry?

LaNd3S3O4

***

> What is the formula in the first record?

LaNd3S3O4

***

> What is the spin magnetization in the first record?

0.0 μB per formula unit